{
  "formula": "K2RbGaPb",
  "functional": "PBE",
  "state": "optimized geometry",
  "lattice_angstrom": [[6.688, 0.000, 0.000], [0.000, 6.688, 0.000], [0.000, 0.000, 5.550]],
  "species": ["K", "K", "Rb", "Ga", "Pb"],
  "fractional_positions": [[0.000, 0.500, 0.000], [0.500, 0.000, 0.000], [0.000, 0.000, 0.500], [0.500, 0.500, 0.000], [0.500, 0.500, 0.500]],
  "magmom_total_mub_per_fu": 0.00,
  "formation_enthalpy_0k_ev_per_atom": 0.016,
  "energy_ev_per_cell": -9.8
}